DFT (PBE-GGA) results for Ta2OsPb after structural relaxation.

```
data_Ta2OsPb
_chemical_formula_sum 'Ta2 Os1 Pb1'
_cell_length_a 3.082
_cell_length_b 4.221
_cell_length_c 6.152
_cell_angle_alpha 90.00
_cell_angle_beta 104.41
_cell_angle_gamma 90.00
_space_group_name_H-M_alt 'P 1 m 1'
_space_group_IT_number 6
loop_
_space_group_symop_operation_xyz
'x,y,z'
'x,-y,z'
loop_
_atom_site_label
_atom_site_type_symbol
_atom_site_fract_x
_atom_site_fract_y
_atom_site_fract_z
Ta1 Ta 0.000 0.000 0.000
Ta2 Ta 0.374 0.500 0.752
Os1 Os 0.584 0.500 0.169
Pb1 Pb 0.742 0.000 0.486
```

Output
Energy of formation = 0.33 eV/atom
Total magnetization = 0.00 μB/cell
Volume = 19.4 Å³/atom